First-principles (GGA-PBE) data for a relaxed structure of Ac2BeAu, as listed in the Alexandria database.

## Properties
E_form   -0.18 eV per atom
Uncorrected energy   -3.987 eV per atom
Offset from the most stable computed form   0.0288 eV per atom

The structure in CIF format:
```
data_Ac2BeAu
_chemical_formula_sum 'Ac8 Be4 Au4'
_cell_length_a 7.7255
_cell_length_b 7.7255
_cell_length_c 7.7255
_cell_angle_alpha 90.00
_cell_angle_beta 90.00
_cell_angle_gamma 90.00
_symmetry_space_group_name_H-M 'F m -3 m'
_symmetry_Int_Tables_number 225
_symmetry_space_group_name_Hall '-F 4 2 3'
loop_
_atom_site_label
_atom_site_type_symbol
_atom_site_fract_x
_atom_site_fract_y
_atom_site_fract_z
Ac1 Ac 0.2500 0.2500 0.2500
Be1 Be 0.0000 0.0000 0.0000
Au1 Au 0.0000 0.0000 0.5000
```